# 1
The following is a DFT calculation (PBE) of an optimized crystal structure of Li3NpSc4S8.

Cell lengths 7.530, 7.530, 7.530 Å; angles 59.15, 59.15, 59.15 degrees
Positions (direct):
Li 0.000 0.500 0.500
Li 0.500 0.000 0.500
Li 0.500 0.500 0.000
Np 0.000 0.000 0.000
Sc 0.000 0.000 0.500
Sc 0.000 0.500 0.000
Sc 0.500 0.000 0.000
Sc 0.500 0.500 0.500
S 0.246 0.246 0.246
S 0.253 0.744 0.744
S 0.256 0.256 0.747
S 0.256 0.747 0.256
S 0.744 0.253 0.744
S 0.744 0.744 0.253
S 0.747 0.256 0.256
S 0.754 0.754 0.754

Computed properties:
symmetry: R-3m, No. 166
formation energy (no corrections): -27.50 eV per formula unit

---

# 2
The following is a DFT calculation (PBE) of an optimized crystal structure of TeAs2Br.

Cell lengths 3.835, 3.835, 8.313 Å; angles 90.00, 90.00, 90.00 degrees
Positions (direct):
Te 0.000 0.000 0.000
As 0.000 0.000 0.307
As 0.500 0.500 0.335
Br 0.500 0.500 0.623

Computed properties:
energy relative to the lowest polymorph listed for this composition: 0.84 kcal/mol of atoms
symmetry: P4mm, No. 99
formation energy (no corrections): -0.02 eV per formula unit

---

# 3
The following is a DFT calculation (PBE) of an optimized crystal structure of LiNd2Au.

Cell lengths 6.865, 6.865, 6.865 Å; angles 37.97, 37.97, 37.97 degrees
Positions (direct):
Li 0.000 0.000 0.000
Nd 0.573 0.573 0.573
Nd 0.765 0.765 0.765
Au 0.340 0.340 0.340

Computed properties:
ΔE_f: -0.2780 eV per atom
symmetry: R3m, No. 160

---

# 4
The following is a DFT calculation (PBE) of an optimized crystal structure of TbAl6Ga.

Cell lengths 5.661, 5.661, 5.698 Å; angles 95.26, 95.26, 121.37 degrees
Positions (direct):
Tb 0.000 0.000 0.000
Al 0.057 0.551 0.259
Al 0.449 0.943 0.741
Al 0.461 0.461 0.752
Al 0.539 0.539 0.248
Al 0.551 0.057 0.259
Al 0.943 0.449 0.741
Ga 0.000 0.000 0.500

Computed properties:
ΔE_f: -0.1002 eV per atom
symmetry: C2/m, No. 12